This record from Alexandria describes an optimized crystal structure of Ce5InHg2. The functional is GGA-PBE.

Cell: 6.434 6.434 13.988 Å, 90.00 90.00 130.90°
Positions (direct):
Ce (0.044, 0.956, 0.750)
Ce (0.107, 0.893, 0.024)
Ce (0.107, 0.893, 0.476)
Ce (0.421, 0.579, 0.070)
Ce (0.421, 0.579, 0.430)
Ce (0.579, 0.421, 0.570)
Ce (0.579, 0.421, 0.930)
Ce (0.893, 0.107, 0.524)
Ce (0.893, 0.107, 0.976)
Ce (0.956, 0.044, 0.250)
In (0.246, 0.754, 0.250)
In (0.754, 0.246, 0.750)
Hg (0.310, 0.690, 0.641)
Hg (0.310, 0.690, 0.859)
Hg (0.690, 0.310, 0.141)
Hg (0.690, 0.310, 0.359)

Output
space-group type	Cmcm (63)
Fermi-level density of states	2.394	states/eV/atom

=====

This record from Alexandria describes an optimized crystal structure of Ce6In2Hg. The functional is GGA-PBE.

Cell: 9.161 9.161 3.079 Å, 90.00 90.00 120.00°
Positions (direct):
Ce (0.000, 0.327, 0.000)
Ce (0.000, 0.673, 0.000)
Ce (0.327, 0.000, 0.000)
Ce (0.327, 0.327, 0.000)
Ce (0.673, 0.000, 0.000)
Ce (0.673, 0.673, 0.000)
In (0.333, 0.667, 0.500)
In (0.667, 0.333, 0.500)
Hg (0.000, 0.000, 0.500)

Output
space-group type	P6/mmm (191)
Fermi-level density of states	2.854	states/eV/atom

=====

This record from Alexandria describes an optimized crystal structure of Ce2InHg4. The functional is GGA-PBE.

Cell: 8.815 8.815 8.815 Å, 34.55 34.55 34.55°
Positions (direct):
Ce (0.243, 0.243, 0.243)
Ce (0.757, 0.757, 0.757)
In (0.500, 0.500, 0.500)
Hg (0.113, 0.113, 0.113)
Hg (0.370, 0.370, 0.370)
Hg (0.630, 0.630, 0.630)
Hg (0.887, 0.887, 0.887)

Output
space-group type	R-3m (166)
Fermi-level density of states	2.206	states/eV/atom

=====

E (computed, eV per atom): -4.225; -4.792; -2.509
Energy relative to the lowest polymorph listed for this composition (computed, meV per atom): 95; 0; 0